# 1
DFT (PBE) results for a geometry-optimized Sm2RuI structure.

Lattice parameters (Å, degrees): 8.449 8.449 8.449 28.11 28.11 28.11
Sites, in units of the cell vectors:
Sm (0.000, 0.000, 0.000)
Sm (0.210, 0.210, 0.210)
Ru (0.605, 0.605, 0.605)
I (0.438, 0.438, 0.438)

Calculated values
As for the formation energy from raw total energies: -0.6017 eV/atom. As for the space group: No. 160. Its total magnetization is 0.00 Bohr magnetons per cell.



# 2
DFT (PBE) results for a geometry-optimized YTaSb2 structure.

Lattice parameters (Å, degrees): 5.059 5.059 5.059 60.00 60.00 60.00
Sites, in units of the cell vectors:
Y (0.000, 0.000, 0.000)
Ta (0.500, 0.500, 0.500)
Sb (0.250, 0.250, 0.250)
Sb (0.750, 0.750, 0.750)

Calculated values
As for the formation energy from raw total energies: -0.2111 eV/atom. As for the space group: No. 225. Its total magnetization is 0.00 Bohr magnetons per cell.



What is the formula in the first record?
Sm2RuI